1.
10
Lattice="3.936 0.000 0.000 0.000 6.065 -2.416 0.000 -1.011 12.366" Properties=species:S:1:pos:R:3 comment="ZrTe3Pd | the Alexandria database | PBE | relaxed" e_above_lowest_polymorph_ev_per_atom=0.000 dos_ef_per_ev_cell=7.2 magnetic_moment_mub_per_fu=0.00 final_energy_ev_per_cell=-52.5 formation_energy_uncorrected_ev_per_atom=-0.618 sg="P2_1/m (11)" pbc="T T T"
Te 0.984 5.244 1.070
Te 0.984 3.008 9.574
Te 2.952 1.686 6.160
Zr 2.952 1.232 3.147
Pd 2.952 4.712 8.944
Te 2.952 2.046 0.376
Pd 0.984 0.342 1.007
Te 0.984 3.368 3.791
Zr 0.984 3.822 6.804
Te 2.952 -0.189 8.881



2.
7
Lattice="4.021 0.000 0.000 0.000 6.915 -0.060 -2.011 -3.431 6.740" Properties=species:S:1:pos:R:3 comment="Zr2Te4Pd | the Alexandria database | PBE | relaxed" dos_ef_per_ev_cell=2.4 magnetic_moment_mub_per_fu=0.00 final_energy_ev_per_cell=-40.3 formation_energy_uncorrected_ev_per_atom=-0.779 sg="C2/m (12)" pbc="T T T"
Te 2.011 1.208 1.569
Te 0.000 4.542 1.505
Zr 0.000 -0.057 3.308
Zr 2.011 3.541 3.372
Pd 0.000 0.000 0.000
Te 0.000 2.276 5.111
Te 2.011 -1.058 5.175



3.
6
Lattice="4.232 2.715 -1.111 3.383 6.345 -2.115 -1.446 -4.025 8.918" Properties=species:S:1:pos:R:3 comment="ZrTePd | the Alexandria database | PBE | relaxed" dos_ef_per_ev_cell=3.4 magnetic_moment_mub_per_fu=0.00 final_energy_ev_per_cell=-37.6 formation_energy_uncorrected_ev_per_atom=-0.646 sg="P-1 (2)" pbc="T T T"
Te 6.037 5.276 2.935
Pd 3.153 1.490 6.492
Pd 3.016 3.546 -0.801
Zr 4.567 3.369 4.714
Te 0.132 -0.240 2.756
Zr 1.602 1.667 0.978



4.
8
Lattice="3.898 0.000 0.000 0.000 6.278 -3.625 0.000 0.000 7.249" Properties=species:S:1:pos:R:3 comment="Th3Pd5 | the Alexandria database | PBE | relaxed" dos_ef_per_ev_cell=4.2 formation_enthalpy_0k_mev_per_atom=-873 magnetic_moment_mub_per_fu=0.00 final_energy_ev_per_cell=-55.2 sg="P-62m (189)" pbc="T T T"
Th 1.949 0.000 4.682
Th 1.949 4.055 -2.341
Th 1.949 2.223 1.284
Pd 0.000 1.459 -0.842
Pd 0.000 4.185 0.000
Pd 0.000 2.093 3.625
Pd 0.000 4.819 2.782
Pd 0.000 0.000 1.685



5.
16
Lattice="-3.038 2.051 -5.252 4.995 -2.896 -4.019 -5.330 -8.736 -0.328" Properties=species:S:1:pos:R:3 comment="Th3Pd | the Alexandria database | PBE | relaxed" e_above_lowest_polymorph_ev_per_atom=0.000 dos_ef_per_ev_cell=21.0 formation_enthalpy_0k_mev_per_atom=-340 magnetic_moment_mub_per_fu=0.00 final_energy_ev_per_cell=-115.2 sg="Pnma (62)" pbc="T T T"
Th -2.338 -7.415 -4.235
Pd 1.356 -3.711 -3.097
Th 0.484 -5.448 -5.333
Pd -1.988 -1.691 -2.551
Th 0.834 -1.085 -1.885
Pd -1.384 -7.890 -7.049
Th -1.256 -4.511 -2.013
Th -2.116 -5.070 -7.587
Th -4.259 -6.355 -1.230
Th -4.206 -8.497 -7.716
Th -1.034 -2.167 -5.365
Th 2.575 -2.021 -5.204
Pd -4.728 -5.871 -6.503
Th -5.947 -7.560 -4.396
Th -3.856 -4.134 -4.267
Th 0.887 -3.227 -8.370



6.
8
Lattice="-1.271 4.444 1.299 0.427 -1.394 5.189 5.674 1.631 -0.029" Properties=species:S:1:pos:R:3 comment="ThPd3 | the Alexandria database | PBE | relaxed" dos_ef_per_ev_cell=4.0 formation_enthalpy_0k_mev_per_atom=-853 magnetic_moment_mub_per_fu=0.00 final_energy_ev_per_cell=-52.8 sg="Pmmn (59)" pbc="T T T"
Pd -0.508 1.805 2.201
Pd 3.136 -0.161 3.622
Pd 4.348 1.005 0.815
Pd 1.164 1.468 4.994
Pd 3.954 2.270 4.980
Th 0.280 -0.913 3.399
Th 2.349 2.557 2.425
Pd 1.464 0.176 0.830